(1)
# CeAlSiOs, optimized geometry, DFT PBE
data_CeAlSiOs
_chemical_formula_sum 'Ce3 Al3 Si3 Os3'
_symmetry_space_group_name_H-M 'R 3 m'
_symmetry_Int_Tables_number 160
_symmetry_space_group_name_Hall 'R 3 -2"'
_cell_length_a 4.1838
_cell_length_b 4.1838
_cell_length_c 15.2029
_cell_angle_alpha 90.00
_cell_angle_beta 90.00
_cell_angle_gamma 120.00
loop_
_atom_site_label
_atom_site_type_symbol
_atom_site_fract_x
_atom_site_fract_y
_atom_site_fract_z
Ce1 Ce 0.0000 0.0000 0.0000
Al1 Al 0.0000 0.0000 0.2075
Si1 Si 0.0000 0.0000 0.7905
Os1 Os 0.0000 0.0000 0.4845
# Raw formation energy (eV per atom): -0.512
# Magnetic moment (Bohr magnetons per cell): 0.01
# N(E_F) (states/eV/cell): 14.3

---

(2)
# TbCeAlOs, optimized geometry, DFT PBE
data_TbCeAlOs
_chemical_formula_sum 'Tb4 Ce4 Al4 Os4'
_symmetry_space_group_name_H-M 'F -4 3 m'
_symmetry_Int_Tables_number 216
_symmetry_space_group_name_Hall 'F -4 2 3'
_cell_length_a 7.0607
_cell_length_b 7.0607
_cell_length_c 7.0607
_cell_angle_alpha 90.00
_cell_angle_beta 90.00
_cell_angle_gamma 90.00
loop_
_atom_site_label
_atom_site_type_symbol
_atom_site_fract_x
_atom_site_fract_y
_atom_site_fract_z
Tb1 Tb 0.0000 0.0000 0.0000
Ce1 Ce 0.0000 0.0000 0.5000
Al1 Al 0.2500 0.2500 0.7500
Os1 Os 0.2500 0.2500 0.2500
# Magnetic moment (Bohr magnetons per cell): 0.05
# N(E_F) (states/eV/cell): 14.5
# Calculated formation energy (meV per atom): -185.2

---

(3)
# Tb2CeAlOs2, optimized geometry, DFT PBE
data_Tb2CeAlOs2
_chemical_formula_sum 'Tb8 Ce4 Al4 Os8'
_symmetry_space_group_name_H-M 'I b a m'
_symmetry_Int_Tables_number 72
_symmetry_space_group_name_Hall '-I 2 2c'
_cell_length_a 6.4208
_cell_length_b 13.3420
_cell_length_c 6.4459
_cell_angle_alpha 90.00
_cell_angle_beta 90.00
_cell_angle_gamma 90.00
loop_
_atom_site_label
_atom_site_type_symbol
_atom_site_fract_x
_atom_site_fract_y
_atom_site_fract_z
Tb1 Tb 0.1762 0.1826 0.0000
Ce1 Ce 0.0000 0.5000 0.2500
Al1 Al 0.0000 0.0000 0.2500
Os1 Os 0.2350 0.1054 0.5000
# Magnetic moment (Bohr magnetons per cell): 0.00
# N(E_F) (states/eV/cell): 21.3
# Calculated formation energy (meV per atom): -232.2

---

(4)
# CeThAlOs, optimized geometry, DFT PBE
data_CeThAlOs
_chemical_formula_sum 'Ce4 Th4 Al4 Os4'
_symmetry_space_group_name_H-M 'F -4 3 m'
_symmetry_Int_Tables_number 216
_symmetry_space_group_name_Hall 'F -4 2 3'
_cell_length_a 6.9495
_cell_length_b 6.9495
_cell_length_c 6.9495
_cell_angle_alpha 90.00
_cell_angle_beta 90.00
_cell_angle_gamma 90.00
loop_
_atom_site_label
_atom_site_type_symbol
_atom_site_fract_x
_atom_site_fract_y
_atom_site_fract_z
Ce1 Ce 0.0000 0.0000 0.0000
Th1 Th 0.2500 0.2500 0.2500
Al1 Al 0.2500 0.2500 0.7500
Os1 Os 0.0000 0.0000 0.5000
# Magnetic moment (Bohr magnetons per cell): 0.15
# N(E_F) (states/eV/cell): 19.5
# Calculated formation energy (meV per atom): -141.9

---

(5)
# Ce2UAlOs2, optimized geometry, DFT PBE
data_Ce2UAlOs2
_chemical_formula_sum 'Ce8 U4 Al4 Os8'
_symmetry_space_group_name_H-M 'I b a m'
_symmetry_Int_Tables_number 72
_symmetry_space_group_name_Hall '-I 2 2c'
_cell_length_a 6.2684
_cell_length_b 13.3119
_cell_length_c 6.2458
_cell_angle_alpha 90.00
_cell_angle_beta 90.00
_cell_angle_gamma 90.00
loop_
_atom_site_label
_atom_site_type_symbol
_atom_site_fract_x
_atom_site_fract_y
_atom_site_fract_z
Ce1 Ce 0.2474 0.1768 0.0000
U1 U 0.0000 0.0000 0.2500
Al1 Al 0.0000 0.5000 0.2500
Os1 Os 0.2476 0.1207 0.5000
# Magnetic moment (Bohr magnetons per cell): 4.73
# N(E_F) (states/eV/cell): 39.5
# Calculated formation energy (meV per atom): -198.9

---

(6)
# CeYAlOs, optimized geometry, DFT PBE
data_CeYAlOs
_chemical_formula_sum 'Ce4 Y4 Al4 Os4'
_symmetry_space_group_name_H-M 'F -4 3 m'
_symmetry_Int_Tables_number 216
_symmetry_space_group_name_Hall 'F -4 2 3'
_cell_length_a 7.0539
_cell_length_b 7.0539
_cell_length_c 7.0539
_cell_angle_alpha 90.00
_cell_angle_beta 90.00
_cell_angle_gamma 90.00
loop_
_atom_site_label
_atom_site_type_symbol
_atom_site_fract_x
_atom_site_fract_y
_atom_site_fract_z
Ce1 Ce 0.0000 0.0000 0.0000
Y1 Y 0.0000 0.0000 0.5000
Al1 Al 0.2500 0.2500 0.7500
Os1 Os 0.2500 0.2500 0.2500
# Magnetic moment (Bohr magnetons per cell): 0.20
# N(E_F) (states/eV/cell): 14.1
# Calculated formation energy (meV per atom): -195.0

---

(7)
# CeAl2ZnOs2, optimized geometry, DFT PBE
data_CeAl2ZnOs2
_chemical_formula_sum 'Ce1 Al2 Zn1 Os2'
_symmetry_space_group_name_H-M 'P 4/m m m'
_symmetry_Int_Tables_number 123
_symmetry_space_group_name_Hall '-P 4 2'
_cell_length_a 4.5255
_cell_length_b 4.5255
_cell_length_c 5.4744
_cell_angle_alpha 90.00
_cell_angle_beta 90.00
_cell_angle_gamma 90.00
loop_
_atom_site_label
_atom_site_type_symbol
_atom_site_fract_x
_atom_site_fract_y
_atom_site_fract_z
Ce1 Ce 0.0000 0.0000 0.0000
Al1 Al 0.0000 0.5000 0.5000
Zn1 Zn 0.0000 0.0000 0.5000
Os1 Os 0.5000 0.5000 0.2201
# Magnetic moment (Bohr magnetons per cell): 0.42
# N(E_F) (states/eV/cell): 6.3
# Calculated formation energy (meV per atom): 269.1

---

(8)
# CeAlP2, optimized geometry, DFT PBE
data_CeAlP2
_chemical_formula_sum 'Ce3 Al3 P6'
_symmetry_space_group_name_H-M 'R -3 m'
_symmetry_Int_Tables_number 166
_symmetry_space_group_name_Hall '-R 3 2"'
_cell_length_a 4.4607
_cell_length_b 4.4607
_cell_length_c 21.2514
_cell_angle_alpha 90.00
_cell_angle_beta 90.00
_cell_angle_gamma 120.00
loop_
_atom_site_label
_atom_site_type_symbol
_atom_site_fract_x
_atom_site_fract_y
_atom_site_fract_z
Ce1 Ce 0.0000 0.0000 0.0000
Al1 Al 0.0000 0.0000 0.5000
P1 P 0.0000 0.0000 0.3965
# Magnetic moment (Bohr magnetons per cell): 2.98
# N(E_F) (states/eV/cell): 22.0
# Calculated formation energy (meV per atom): -389.8

---

(9)
# Ce2AlP, optimized geometry, DFT PBE
data_Ce2AlP
_chemical_formula_sum 'Ce6 Al3 P3'
_symmetry_space_group_name_H-M 'R -3 m'
_symmetry_Int_Tables_number 166
_symmetry_space_group_name_Hall '-R 3 2"'
_cell_length_a 3.6913
_cell_length_b 3.6913
_cell_length_c 29.7370
_cell_angle_alpha 90.00
_cell_angle_beta 90.00
_cell_angle_gamma 120.00
loop_
_atom_site_label
_atom_site_type_symbol
_atom_site_fract_x
_atom_site_fract_y
_atom_site_fract_z
Ce1 Ce 0.0000 0.0000 0.1079
Al1 Al 0.0000 0.0000 0.0000
P1 P 0.0000 0.0000 0.5000
# Magnetic moment (Bohr magnetons per cell): 6.55
# N(E_F) (states/eV/cell): 30.4
# Calculated formation energy (meV per atom): -278.1

---

(10)
# Ce3AlP2Rh9, optimized geometry, DFT PBE
data_Ce3AlP2Rh9
_chemical_formula_sum 'Ce3 Al1 P2 Rh9'
_symmetry_space_group_name_H-M 'P -3 m 1'
_symmetry_Int_Tables_number 164
_symmetry_space_group_name_Hall '-P 3 2"'
_cell_length_a 5.6872
_cell_length_b 5.6872
_cell_length_c 9.9109
_cell_angle_alpha 90.00
_cell_angle_beta 90.00
_cell_angle_gamma 120.00
loop_
_atom_site_label
_atom_site_type_symbol
_atom_site_fract_x
_atom_site_fract_y
_atom_site_fract_z
Ce1 Ce 0.0000 0.0000 0.0000
Ce2 Ce 0.3333 0.6667 0.6262
Al1 Al 0.0000 0.0000 0.5000
P1 P 0.3333 0.6667 0.1599
Rh1 Rh 0.0000 0.5000 0.0000
Rh2 Rh 0.1618 0.3237 0.3080
# Magnetic moment (Bohr magnetons per cell): 0.21
# N(E_F) (states/eV/cell): 10.3
# Calculated formation energy (meV per atom): -697.1

---

(11)
# CeAlP2S8, optimized geometry, DFT PBE
data_CeAlP2S8
_chemical_formula_sum 'Ce1 Al1 P2 S8'
_symmetry_space_group_name_H-M 'P -3 m 1'
_symmetry_Int_Tables_number 164
_symmetry_space_group_name_Hall '-P 3 2"'
_cell_length_a 6.4667
_cell_length_b 6.4667
_cell_length_c 8.1663
_cell_angle_alpha 90.00
_cell_angle_beta 90.00
_cell_angle_gamma 120.00
loop_
_atom_site_label
_atom_site_type_symbol
_atom_site_fract_x
_atom_site_fract_y
_atom_site_fract_z
Ce1 Ce 0.0000 0.0000 0.0000
Al1 Al 0.0000 0.0000 0.5000
P1 P 0.3333 0.6667 0.2193
S1 S 0.1543 0.3086 0.2882
S2 S 0.3333 0.6667 0.9755
# Raw formation energy (eV per atom): -0.517
# Magnetic moment (Bohr magnetons per cell): 0.77
# N(E_F) (states/eV/cell): 6.2

---

(12)
# Sr4Ce3AlP8, optimized geometry, DFT PBE
data_Sr4Ce3AlP8
_chemical_formula_sum 'Sr12 Ce9 Al3 P24'
_symmetry_space_group_name_H-M 'R -3 m'
_symmetry_Int_Tables_number 166
_symmetry_space_group_name_Hall '-R 3 2"'
_cell_length_a 8.2938
_cell_length_b 8.2938
_cell_length_c 20.7454
_cell_angle_alpha 90.00
_cell_angle_beta 90.00
_cell_angle_gamma 120.00
loop_
_atom_site_label
_atom_site_type_symbol
_atom_site_fract_x
_atom_site_fract_y
_atom_site_fract_z
Sr1 Sr 0.0000 0.0000 0.0000
Sr2 Sr 0.0000 0.5000 0.0000
Ce1 Ce 0.0000 0.5000 0.5000
Al1 Al 0.0000 0.0000 0.5000
P1 P 0.0000 0.0000 0.2397
P2 P 0.0130 0.5065 0.2372
# Magnetic moment (Bohr magnetons per cell): 0.00
# N(E_F) (states/eV/cell): 58.0
# Calculated formation energy (meV per atom): -1028.6

---

(13)
# Ce2PaAl, optimized geometry, DFT PBE
data_Ce2PaAl
_chemical_formula_sum 'Ce2 Pa1 Al1'
_symmetry_space_group_name_H-M 'P 4/m m m'
_symmetry_Int_Tables_number 123
_symmetry_space_group_name_Hall '-P 4 2'
_cell_length_a 3.1336
_cell_length_b 3.1336
_cell_length_c 9.7479
_cell_angle_alpha 90.00
_cell_angle_beta 90.00
_cell_angle_gamma 90.00
loop_
_atom_site_label
_atom_site_type_symbol
_atom_site_fract_x
_atom_site_fract_y
_atom_site_fract_z
Ce1 Ce 0.0000 0.0000 0.2384
Pa1 Pa 0.5000 0.5000 0.5000
Al1 Al 0.5000 0.5000 0.0000
# Magnetic moment (Bohr magnetons per cell): 0.00
# N(E_F) (states/eV/cell): 8.1
# Calculated formation energy (meV per atom): -98.3

---

(14)
# CePaAl6, optimized geometry, DFT PBE
data_CePaAl6
_chemical_formula_sum 'Ce1 Pa1 Al6'
_symmetry_space_group_name_H-M 'P -6 m 2'
_symmetry_Int_Tables_number 187
_symmetry_space_group_name_Hall 'P -6 2'
_cell_length_a 6.3405
_cell_length_b 6.3405
_cell_length_c 4.6040
_cell_angle_alpha 90.00
_cell_angle_beta 90.00
_cell_angle_gamma 120.00
loop_
_atom_site_label
_atom_site_type_symbol
_atom_site_fract_x
_atom_site_fract_y
_atom_site_fract_z
Ce1 Ce 0.0000 0.0000 0.0000
Pa1 Pa 0.3333 0.6667 0.5000
Al1 Al 0.3734 0.1867 0.5000
Al2 Al 0.5195 0.0390 0.0000
# Magnetic moment (Bohr magnetons per cell): 0.02
# N(E_F) (states/eV/cell): 8.7
# Calculated formation energy (meV per atom): -339.6

---

(15)
# Ce2PaAl, optimized geometry, DFT PBE
data_Ce2PaAl
_chemical_formula_sum 'Ce8 Pa4 Al4'
_symmetry_space_group_name_H-M 'F m -3 m'
_symmetry_Int_Tables_number 225
_symmetry_space_group_name_Hall '-F 4 2 3'
_cell_length_a 7.3484
_cell_length_b 7.3484
_cell_length_c 7.3484
_cell_angle_alpha 90.00
_cell_angle_beta 90.00
_cell_angle_gamma 90.00
loop_
_atom_site_label
_atom_site_type_symbol
_atom_site_fract_x
_atom_site_fract_y
_atom_site_fract_z
Ce1 Ce 0.2500 0.2500 0.2500
Pa1 Pa 0.0000 0.0000 0.0000
Al1 Al 0.0000 0.0000 0.5000
# Magnetic moment (Bohr magnetons per cell): 11.68
# N(E_F) (states/eV/cell): 50.8
# Calculated formation energy (meV per atom): 90.8

---

(16)
# CePa2Al, optimized geometry, DFT PBE
data_CePa2Al
_chemical_formula_sum 'Ce1 Pa2 Al1'
_symmetry_space_group_name_H-M 'P 4/m m m'
_symmetry_Int_Tables_number 123
_symmetry_space_group_name_Hall '-P 4 2'
_cell_length_a 3.8348
_cell_length_b 3.8348
_cell_length_c 6.5674
_cell_angle_alpha 90.00
_cell_angle_beta 90.00
_cell_angle_gamma 90.00
loop_
_atom_site_label
_atom_site_type_symbol
_atom_site_fract_x
_atom_site_fract_y
_atom_site_fract_z
Ce1 Ce 0.0000 0.0000 0.0000
Pa1 Pa 0.5000 0.5000 0.2716
Al1 Al 0.0000 0.0000 0.5000
# Magnetic moment (Bohr magnetons per cell): 0.75
# N(E_F) (states/eV/cell): 11.7
# Calculated formation energy (meV per atom): 106.1

---

(17)
# CePaAl2, optimized geometry, DFT PBE
data_CePaAl2
_chemical_formula_sum 'Ce1 Pa1 Al2'
_symmetry_space_group_name_H-M 'P 4/m m m'
_symmetry_Int_Tables_number 123
_symmetry_space_group_name_Hall '-P 4 2'
_cell_length_a 4.3887
_cell_length_b 4.3887
_cell_length_c 4.5378
_cell_angle_alpha 90.00
_cell_angle_beta 90.00
_cell_angle_gamma 90.00
loop_
_atom_site_label
_atom_site_type_symbol
_atom_site_fract_x
_atom_site_fract_y
_atom_site_fract_z
Ce1 Ce 0.0000 0.0000 0.0000
Pa1 Pa 0.5000 0.5000 0.0000
Al1 Al 0.0000 0.5000 0.5000
# Magnetic moment (Bohr magnetons per cell): 0.00
# N(E_F) (states/eV/cell): 5.7
# Calculated formation energy (meV per atom): -212.8

---

(18)
# Ce5PaAl, optimized geometry, DFT PBE
data_Ce5PaAl
_chemical_formula_sum 'Ce20 Pa4 Al4'
_symmetry_space_group_name_H-M 'C 1 2/c 1'
_symmetry_Int_Tables_number 15
_symmetry_space_group_name_Hall '-C 2yc'
_cell_length_a 7.8961
_cell_length_b 9.1512
_cell_length_c 10.4129
_cell_angle_alpha 90.00
_cell_angle_beta 92.18
_cell_angle_gamma 90.00
loop_
_atom_site_label
_atom_site_type_symbol
_atom_site_fract_x
_atom_site_fract_y
_atom_site_fract_z
Ce1 Ce 0.0000 0.1301 0.2500
Ce2 Ce 0.1764 0.2242 0.6628
Ce3 Ce 0.1846 0.3868 0.0148
Pa1 Pa 0.0000 0.0000 0.0000
Al1 Al 0.0000 0.4863 0.2500
# Magnetic moment (Bohr magnetons per cell): 6.82
# N(E_F) (states/eV/cell): 91.2
# Calculated formation energy (meV per atom): 174.1

---

(19)
# CePa2Al, optimized geometry, DFT PBE
data_CePa2Al
_chemical_formula_sum 'Ce1 Pa2 Al1'
_symmetry_space_group_name_H-M 'P 4/m m m'
_symmetry_Int_Tables_number 123
_symmetry_space_group_name_Hall '-P 4 2'
_cell_length_a 4.5202
_cell_length_b 4.5202
_cell_length_c 4.6389
_cell_angle_alpha 90.00
_cell_angle_beta 90.00
_cell_angle_gamma 90.00
loop_
_atom_site_label
_atom_site_type_symbol
_atom_site_fract_x
_atom_site_fract_y
_atom_site_fract_z
Ce1 Ce 0.0000 0.0000 0.0000
Pa1 Pa 0.0000 0.5000 0.5000
Al1 Al 0.5000 0.5000 0.0000
# Magnetic moment (Bohr magnetons per cell): 0.00
# N(E_F) (states/eV/cell): 9.9
# Calculated formation energy (meV per atom): -61.9

---

(20)
# CePaAl2, optimized geometry, DFT PBE
data_CePaAl2
_chemical_formula_sum 'Ce1 Pa1 Al2'
_symmetry_space_group_name_H-M 'P 4/m m m'
_symmetry_Int_Tables_number 123
_symmetry_space_group_name_Hall '-P 4 2'
_cell_length_a 3.0935
_cell_length_b 3.0935
_cell_length_c 9.1541
_cell_angle_alpha 90.00
_cell_angle_beta 90.00
_cell_angle_gamma 90.00
loop_
_atom_site_label
_atom_site_type_symbol
_atom_site_fract_x
_atom_site_fract_y
_atom_site_fract_z
Ce1 Ce 0.0000 0.0000 0.0000
Pa1 Pa 0.0000 0.0000 0.5000
Al1 Al 0.5000 0.5000 0.2543
# Magnetic moment (Bohr magnetons per cell): 0.00
# N(E_F) (states/eV/cell): 5.3
# Calculated formation energy (meV per atom): -242.7